Density functional theory data (PBE with a Hubbard U) for crystalline Li2VO2F2 at its relaxed geometry.

```
28
Lattice="-5.116 -3.030 -0.506 -0.262 -5.928 0.631 -3.529 -2.145 9.604" Properties=species:S:1:pos:R:3 pbc="T T T"
Li -3.142 -7.317 2.192
Li -7.372 -6.918 6.418
Li -1.535 -4.185 3.312
Li -5.765 -3.786 7.537
Li -4.149 -6.796 7.544
Li -4.757 -4.307 2.186
Li -4.322 -2.588 4.549
Li -0.131 -2.964 0.315
V -2.689 -4.479 0.063
V -4.453 -5.552 4.865
V -1.765 -1.072 4.802
V 0.000 0.000 0.000
O -1.180 -4.494 1.371
O -5.529 -4.023 5.568
O -5.767 -5.588 3.554
O -5.266 -8.013 8.887
O -3.378 -7.080 4.162
O -7.727 -6.609 8.359
O -3.640 -3.090 0.843
O -3.140 -5.515 6.175
F -7.925 -9.782 8.569
F -3.442 -4.226 3.735
F -5.144 -5.336 8.552
F -6.049 -8.776 3.793
F -2.858 -2.327 5.937
F -3.763 -5.767 1.178
F -5.465 -6.877 5.995
F -0.982 -1.321 1.161
```

Total energy, Ry/atom: -0.444
Size of the total moment, μB per formula unit: 1.00
Offset from the most stable computed form, eV/f.u.: 0.00